(1)
Crystalline Pr2Ho3Pb4 at its relaxed geometry, computed with PBE.

Results
As for the total magnetization: 0.0 μB per formula unit. For the energy relative to the elements, the calculation gives -0.459 eV per atom.

Cell and atoms, written as extended XYZ:
```
18
Lattice="3.5746 -8.7020 0.0000 3.5746 8.7020 0.0000 0.0000 0.0000 9.0431" Properties=species:S:1:pos:R:3 pbc="T T T"
Pr 3.5746 6.7649 8.2430
Pr 3.5746 1.9371 3.7215
Pr 3.5746 -1.9371 5.3216
Pr 3.5746 -6.7649 0.8001
Ho 0.0000 0.0000 4.5215
Ho 1.7873 3.6040 6.7823
Ho 1.7873 -3.6040 2.2608
Ho 3.5746 0.0000 0.0000
Ho 5.3619 3.6040 6.7823
Ho 5.3619 -3.6040 2.2608
Pb 3.5746 5.4665 5.0158
Pb 1.7873 0.5601 6.7823
Pb 1.7873 -0.5601 2.2608
Pb 3.5746 3.2355 0.4943
Pb 3.5746 -3.2355 8.5488
Pb 5.3619 0.5601 6.7823
Pb 5.3619 -0.5601 2.2608
Pb 3.5746 -5.4665 4.0272
```



(2)
Crystalline CePr7Hg4 at its relaxed geometry, computed with PBE.

Results
As for the total magnetization: 1.1 μB per formula unit. For the energy relative to the elements, the calculation gives -0.133 eV per atom.

Cell and atoms, written as extended XYZ:
```
12
Lattice="7.5282 -2.9328 0.0000 7.5282 2.9328 0.0000 -5.4752 0.0000 8.5390" Properties=species:S:1:pos:R:3 pbc="T T T"
Ce 0.0000 0.0000 0.0000
Pr -1.2305 0.0000 3.4315
Pr -1.7807 0.0000 7.6075
Pr 2.2909 0.0000 2.6636
Pr 7.5282 0.0000 0.0000
Pr 7.2904 0.0000 5.8754
Pr 11.3619 0.0000 0.9314
Pr 10.8117 0.0000 5.1074
Hg 1.1211 0.0000 5.5981
Hg 5.3310 0.0000 2.3057
Hg 4.2502 0.0000 6.2333
Hg 8.4601 0.0000 2.9408
```



Number 1: VASP energy -4.695 eV/atom. Number 2: VASP energy -3.516 eV/atom.